Y3CdCu8 | the Alexandria database | GGA-PBE | relaxed; formation energy = -0.196 eV/atom; DOS at the Fermi energy = 7.8 states/eV per cell; space-group type = R3m
1.0
5.197 0.000 0.000
2.599 4.501 0.000
2.599 1.500 8.517
Cu Cd Y
8 1 3
direct
0.434 0.434 0.187
0.687 0.687 0.940
0.938 0.938 0.687
0.938 0.437 0.687
0.437 0.938 0.687
0.434 0.944 0.187
0.188 0.188 0.435
0.944 0.434 0.187
0.871 0.871 0.386
0.505 0.505 0.484
0.994 0.994 0.019
0.379 0.379 0.863

---

Tb6HoIn3 | the Alexandria database | GGA-PBE | relaxed; formation energy = -0.134 eV/atom; DOS at the Fermi energy = 24.5 states/eV per cell; space-group type = Cmc2_1
1.0
-4.077 -1.806 6.259
-7.090 -2.722 -5.404
5.848 -7.037 1.779
In Ho Tb
6 2 12
direct
0.931 0.009 0.281
0.431 0.281 0.009
0.824 0.550 0.450
0.324 0.450 0.550
0.431 0.991 0.719
0.931 0.719 0.991
0.580 0.797 0.203
0.080 0.203 0.797
0.637 0.304 0.696
0.292 0.955 0.045
0.792 0.045 0.955
0.792 0.921 0.548
0.137 0.696 0.304
0.292 0.079 0.452
0.604 0.229 0.296
0.292 0.548 0.921
0.792 0.452 0.079
0.604 0.704 0.771
0.104 0.296 0.229
0.104 0.771 0.704

---

What mass density values result from the calculations? In sequence: 7.398; 7.825 g cm⁻³.